DFT (PBE) results for a relaxed Cr2InSi2 crystal.

Magnetic moment   0.517 μB/atom
Energy above the lowest structure with this stoichiometry   0 meV/atom
Raw total energy   -64.83 eV per cell
Space group   I4/mmm, No. 139
Fermi-level density of states   0.818 states/eV per atom
Energy relative to the elements, uncorrected   0.08 eV/atom

Unit cell a=3.439 b=3.439 c=12.670 alpha=90.00 beta=90.00 gamma=90.00
Sites, in units of the cell vectors:
Cr 0.000 0.000 0.113
Cr 0.000 0.000 0.887
Cr 0.500 0.500 0.387
Cr 0.500 0.500 0.613
In 0.000 0.000 0.500
In 0.500 0.500 0.000
Si 0.000 0.500 0.250
Si 0.000 0.500 0.750
Si 0.500 0.000 0.250
Si 0.500 0.000 0.750